1.
A relaxed structure of Ba2NiH4, computed with PBE.

Lattice parameters (Å, degrees): 3.7446 3.7446 15.5752 90.00 90.00 90.00
Fractional coordinates of all 14 atoms:
Ba: 0.0000 0.0000 0.1321
Ba: 0.0000 0.0000 0.8679
Ba: 0.5000 0.5000 0.3679
Ba: 0.5000 0.5000 0.6321
Ni: 0.0000 0.0000 0.5000
Ni: 0.5000 0.5000 0.0000
H: 0.0000 0.0000 0.3109
H: 0.0000 0.0000 0.6891
H: 0.0000 0.5000 0.0000
H: 0.0000 0.5000 0.5000
H: 0.5000 0.0000 0.0000
H: 0.5000 0.0000 0.5000
H: 0.5000 0.5000 0.1891
H: 0.5000 0.5000 0.8109

Properties
Excess energy over the best structure of this formula in the dataset ... 80 meV/atom

2.
A relaxed structure of Pr3Sm5Ho3, computed with PBE.

Lattice parameters (Å, degrees): 9.7353 9.7353 5.6183 90.00 90.00 120.00
Fractional coordinates of all 11 atoms:
Pr: 0.0000 0.5762 0.0000
Pr: 0.4238 0.4238 0.0000
Pr: 0.5762 0.0000 0.0000
Sm: 0.0000 0.7292 0.5000
Sm: 0.2708 0.2708 0.5000
Sm: 0.3333 0.6667 0.5000
Sm: 0.6667 0.3333 0.5000
Sm: 0.7292 0.0000 0.5000
Ho: 0.0000 0.3685 0.5000
Ho: 0.3685 0.0000 0.5000
Ho: 0.6315 0.6315 0.5000

Properties
Excess energy over the best structure of this formula in the dataset ... 0 meV/atom

3.
A relaxed structure of Y2TmBi2, computed with PBE.

Lattice parameters (Å, degrees): 6.2416 6.2416 12.1166 90.00 90.00 138.54
Fractional coordinates of all 10 atoms:
Y: 0.0384 0.9616 0.5000
Y: 0.3384 0.6616 0.6887
Y: 0.6616 0.3384 0.1887
Y: 0.9616 0.0384 0.0000
Tm: 0.3378 0.6622 0.3635
Tm: 0.6622 0.3378 0.8635
Bi: 0.0219 0.9781 0.7515
Bi: 0.2638 0.7362 0.0210
Bi: 0.7362 0.2638 0.5210
Bi: 0.9781 0.0219 0.2515

Properties
Uncorrected energy ... -5.62 eV per atom

4.
A relaxed structure of CsBa2NaGe, computed with PBE.

Lattice parameters (Å, degrees): 6.6423 6.6423 6.2760 90.00 90.00 90.00
Fractional coordinates of all 5 atoms:
Cs: 0.0000 0.0000 0.0000
Ba: 0.0000 0.5000 0.5000
Ba: 0.5000 0.0000 0.5000
Na: 0.5000 0.5000 0.0000
Ge: 0.5000 0.5000 0.5000

Properties
Uncorrected energy ... -2.18 eV per atom

5.
A relaxed structure of NbV2Re2, computed with PBE.

Lattice parameters (Å, degrees): 7.3220 7.3220 2.8688 90.00 90.00 90.00
Fractional coordinates of all 10 atoms:
Nb: 0.0000 0.0000 0.0000
Nb: 0.5000 0.5000 0.0000
V: 0.1447 0.3553 0.0000
V: 0.3553 0.8553 0.0000
V: 0.6447 0.1447 0.0000
V: 0.8553 0.6447 0.0000
Re: 0.1555 0.6555 0.5000
Re: 0.3445 0.1555 0.5000
Re: 0.6555 0.8445 0.5000
Re: 0.8445 0.3445 0.5000

Properties
Excess energy over the best structure of this formula in the dataset ... 66 meV/atom

6.
A relaxed structure of NaFeSnRu2, computed with PBE.

Lattice parameters (Å, degrees): 4.5097 4.5097 4.8084 90.00 90.00 90.00
Fractional coordinates of all 5 atoms:
Na: 0.0000 0.0000 0.0000
Fe: 0.5000 0.5000 0.5000
Sn: 0.5000 0.5000 0.0000
Ru: 0.0000 0.5000 0.5000
Ru: 0.5000 0.0000 0.5000

Properties
Uncorrected energy ... -5.57 eV per atom